## SrAl2Ni2 (GGA-PBE)

Data for SrAl2Ni2 after structural relaxation.

Cell lengths 4.1095, 4.1095, 6.1008 Å; angles 70.32, 70.32, 90.00 degrees
With the nearest neighbours (Å) after each atom.
Sites, in units of the cell vectors:
Sr1 0.0000 0.0000 0.0000  8 Ni 3.18, 8 Al 3.38
Al1 0.7500 0.2500 0.5000  4 Ni 2.48
Al2 0.2500 0.7500 0.5000  4 Ni 2.48
Ni1 0.3787 0.3787 0.2427  4 Al 2.48, 1 Ni 2.60
Ni2 0.6213 0.6213 0.7573  4 Al 2.48, 1 Ni 2.60

Size of the total moment   0.00 μB per cell
DOS at the Fermi energy   0.699 states/eV/atom
Calculated total energy   -4.502 eV/atom
Space group   I4/mmm, No. 139

=====

## CaPm3Zr2N6 (GGA-PBE)

Data for CaPm3Zr2N6 after structural relaxation.

Cell lengths 3.4506, 6.9589, 7.7439 Å; angles 102.92, 102.87, 90.00 degrees
With the nearest neighbours (Å) after each atom.
Sites, in units of the cell vectors:
Ca1 0.5000 0.0000 0.0000  6 N 2.48-2.50
Pm1 0.5000 0.5000 0.0000  6 N 2.44-2.54
Pm2 0.8344 0.1660 0.6688  6 N 2.43-2.65
Pm3 0.1656 0.8340 0.3312  6 N 2.43-2.65
Zr1 0.8352 0.6675 0.6704  6 N 2.21-2.40
Zr2 0.1648 0.3325 0.3296  6 N 2.21-2.40
N1 0.3304 0.8936 0.6607  2 Zr 2.35, 3 Pm 2.43-2.55, 1 Ca 2.50
N2 0.6723 0.5686 0.3446  3 Zr 2.37-2.40, 3 Pm 2.54-2.55
N3 0.6696 0.1064 0.3393  2 Zr 2.35, 3 Pm 2.43-2.55, 1 Ca 2.50
N4 0.0146 0.2607 0.0293  1 Zr 2.21, 2 Pm 2.44
N5 0.9854 0.7393 0.9707  1 Zr 2.21, 2 Pm 2.44
N6 0.3277 0.4314 0.6554  3 Zr 2.37-2.40, 3 Pm 2.54-2.55

Size of the total moment   0.00 μB per cell
Formation energy (no corrections)   -1.4682 eV per atom
DOS at the Fermi energy   0.119 states/eV/atom
Space group   C2/m, No. 12

=====

## Al8CoCu2 (GGA-PBE)

Data for Al8CoCu2 after structural relaxation.

Cell lengths 3.9684, 6.9643, 7.1436 Å; angles 119.17, 106.13, 90.00 degrees
With the nearest neighbours (Å) after each atom.
Sites, in units of the cell vectors:
Al1 0.6605 0.8909 0.3210  3 Cu 2.56-2.65, 1 Co 2.67, 5 Al 2.74-2.82
Al2 0.3395 0.5699 0.6789  3 Cu 2.56-2.65, 1 Co 2.67, 5 Al 2.74-2.82
Al3 0.1436 0.1436 0.2873  2 Co 2.61, 8 Al 2.69-2.82, 2 Cu 2.87
Al4 0.0000 0.2988 0.0000  2 Cu 2.56, 7 Al 2.69-2.80
Al5 0.8564 0.8564 0.7127  2 Co 2.61, 8 Al 2.69-2.82, 2 Cu 2.87
Al6 0.6605 0.4301 0.3211  3 Cu 2.56-2.65, 1 Co 2.67, 5 Al 2.74-2.82
Al7 0.3395 0.1091 0.6790  3 Cu 2.56-2.65, 1 Co 2.67, 5 Al 2.74-2.82
Al8 0.0000 0.7012 0.0000  2 Cu 2.56, 7 Al 2.69-2.80
Co1 0.5000 0.0000 0.0000  12 Al 2.61-2.88
Cu1 0.1815 0.6815 0.3630  10 Al 2.56-2.87
Cu2 0.8185 0.3185 0.6370  10 Al 2.56-2.87

Size of the total moment   0.00 μB per cell
DOS at the Fermi energy   0.529 states/eV/atom
Energy above the most stable polymorph in this dataset   0.84 eV/f.u.
Space group   Immm, No. 71

=====

## Ba2Al12PdPt3 (GGA-PBE)

Data for Ba2Al12PdPt3 after structural relaxation.

Cell lengths 8.1178, 8.1178, 8.1178 Å; angles 70.65, 70.65, 70.65 degrees
With the nearest neighbours (Å) after each atom.
Sites, in units of the cell vectors:
Ba1 0.6058 0.6058 0.6058  3 Al 3.31
Ba2 0.3942 0.3942 0.3942  3 Al 3.31
Al1 0.2320 0.2320 0.9035  2 Pt 2.52
Al2 0.8731 0.8731 0.3440  1 Pt 2.48, 1 Pd 2.61, 2 Al 2.78
Al3 0.3440 0.8731 0.8731  1 Pt 2.48, 1 Pd 2.61, 2 Al 2.78
Al4 0.9035 0.2320 0.2320  2 Pt 2.52
Al5 0.8731 0.3440 0.8731  1 Pt 2.48, 1 Pd 2.61, 2 Al 2.78
Al6 0.2320 0.9035 0.2320  2 Pt 2.52
Al7 0.7680 0.7680 0.0965  2 Pt 2.52
Al8 0.1269 0.1269 0.6560  1 Pt 2.48, 1 Pd 2.61, 2 Al 2.78
Al9 0.6560 0.1269 0.1269  1 Pt 2.48, 1 Pd 2.61, 2 Al 2.78
Al10 0.0965 0.7680 0.7680  2 Pt 2.52
Al11 0.1269 0.6560 0.1269  1 Pt 2.48, 1 Pd 2.61, 2 Al 2.78
Al12 0.7680 0.0965 0.7680  2 Pt 2.52
Pd1 0.0000 0.0000 0.0000  12 Al 2.61-2.85
Pt1 0.5000 0.0000 0.0000  6 Al 2.48-2.52
Pt2 0.0000 0.5000 0.0000  6 Al 2.48-2.52
Pt3 0.0000 0.0000 0.5000  6 Al 2.48-2.52

Size of the total moment   0.00 μB per cell
DOS at the Fermi energy   0.489 states/eV/atom
Calculated total energy   -4.274 eV/atom
Space group   R-3m, No. 166